# Tb2Dy3Y7

A relaxed Tb2Dy3Y7 crystal (PBE, the Alexandria database).

Energy   -0.4125 Ry/atom
Energy above the most stable polymorph in this dataset   0.0 meV per atom

Lattice parameters (Å, degrees): 6.3425 3.5186 17.4716 90.00 96.06 90.00
Positions (direct):
Tb 0.0592 0.0000 0.1730
Tb 0.9408 0.0000 0.8270
Dy 0.4517 0.5000 0.8419
Dy 0.5000 0.0000 0.5000
Dy 0.5483 0.5000 0.1581
Y 0.0000 0.5000 0.5000
Y 0.2266 0.0000 0.6682
Y 0.2551 0.0000 0.9983
Y 0.2737 0.5000 0.3344
Y 0.7263 0.5000 0.6656
Y 0.7449 0.0000 0.0017
Y 0.7734 0.0000 0.3318



# Tb5DyY7

A relaxed Tb5DyY7 crystal (PBE, the Alexandria database).

Energy   -0.3948 Ry/atom

Lattice parameters (Å, degrees): 8.7150 8.7150 8.7150 134.88 100.49 96.45
Positions (direct):
Tb 0.0000 0.0000 0.0000
Tb 0.2669 0.2249 0.5031
Tb 0.2669 0.7637 0.0420
Tb 0.7218 0.2249 0.9580
Tb 0.7218 0.7637 0.4969
Dy 0.6846 0.1846 0.5000
Y 0.0739 0.2465 0.8274
Y 0.3002 0.8002 0.5000
Y 0.4191 0.2465 0.1726
Y 0.4952 0.4952 0.0000
Y 0.5774 0.7458 0.8316
Y 0.9142 0.7458 0.1684
Y 0.9895 0.4895 0.5000



# TbDy8Y5

A relaxed TbDy8Y5 crystal (PBE, the Alexandria database).

Energy   -0.3681 Ry/atom

Lattice parameters (Å, degrees): 8.4421 8.4421 8.4421 111.06 111.06 106.33
Positions (direct):
Tb 0.0000 0.0000 0.0000
Dy 0.0879 0.6717 0.7644
Dy 0.1725 0.2768 0.7560
Dy 0.3283 0.0927 0.4162
Dy 0.5208 0.4165 0.2440
Dy 0.5835 0.8275 0.1044
Dy 0.6764 0.9121 0.5838
Dy 0.7232 0.4792 0.8956
Dy 0.9073 0.3236 0.2356
Y 0.2131 0.6165 0.1783
Y 0.3835 0.5618 0.5966
Y 0.4382 0.0348 0.8217
Y 0.7500 0.2500 0.5000
Y 0.9652 0.7869 0.4034



# TbDy2Y8

A relaxed TbDy2Y8 crystal (PBE, the Alexandria database).

Energy   -0.4363 Ry/atom
Energy above the most stable polymorph in this dataset   0.0 meV per atom

Lattice parameters (Å, degrees): 6.1681 6.1727 9.4417 89.92 83.71 80.30
Positions (direct):
Tb 0.0000 0.0000 0.0000
Dy 0.1819 0.6375 0.2725
Dy 0.8181 0.3625 0.7275
Y 0.0899 0.8185 0.6365
Y 0.2718 0.4550 0.9092
Y 0.3632 0.2739 0.5457
Y 0.4539 0.0911 0.1817
Y 0.5461 0.9089 0.8183
Y 0.6368 0.7261 0.4543
Y 0.7282 0.5450 0.0908
Y 0.9101 0.1815 0.3635



Calculated formation energy
In order: 0.08, 0.24, 0.26, 0.02
Unit: eV per atom